VASP calculation (PBE) on crystalline Mg2TlW at its relaxed geometry.

Structure (CIF):
```
data_Mg2TlW
_cell_length_a 3.063
_cell_length_b 4.203
_cell_length_c 6.094
_cell_angle_alpha 90.00
_cell_angle_beta 90.00
_cell_angle_gamma 90.00
_symmetry_space_group_name_H-M 'P m m 2'
_symmetry_Int_Tables_number 25
loop_
_symmetry_equiv_pos_as_xyz
'x,y,z'
'-x,-y,z'
'-x,y,z'
'x,-y,z'
loop_
_atom_site_label
_atom_site_type_symbol
_atom_site_fract_x
_atom_site_fract_y
_atom_site_fract_z
_atom_site_occupancy
Mg1 Mg 0.000 0.000 0.000 1
Mg2 Mg 0.500 0.500 0.257 1
Tl1 Tl 0.000 0.000 0.519 1
W1 W 0.500 0.500 0.780 1
```

Output
**E_form**: 217 kJ/mol of formula units
**Crystal system**: orthorhombic
**Total magnetization**: 0.00 μB per formula unit